Entry from Alexandria: crystalline Y2Tm5Co4 at its relaxed geometry (PBE-GGA).

Geometry as extended XYZ:
```
11
Lattice="-0.101 -6.361 -0.489 5.866 -3.250 -0.568 0.756 -3.721 6.623" Properties=species:S:1:pos:R:3 pbc="T T T"
Tm 2.067 -8.400 5.417
Y 5.164 -6.758 3.600
Co 4.064 -10.037 4.857
Co 6.006 -9.986 3.779
Tm 4.455 -4.931 0.149
Tm 4.406 -8.015 -0.088
Co 0.516 -3.345 1.786
Tm 3.311 -3.485 3.027
Tm 2.116 -5.316 5.654
Co 2.458 -3.293 0.709
Y 1.357 -6.572 1.965
```

Space-group type: C2/m, No. 12
Calculated total energy, Ry/atom: -0.4243
Size of the total moment, Bohr magnetons per cell: 0.00

---

Entry from Alexandria: crystalline YMnAs2 at its relaxed geometry (PBE-GGA).

Geometry as extended XYZ:
```
4
Lattice="-6.632 -1.015 -0.252 -4.278 -2.056 -4.748 5.763 -0.901 3.324" Properties=species:S:1:pos:R:3 pbc="T T T"
As -2.522 -1.545 0.579
Mn -5.915 -1.665 -2.711
As -10.641 -2.996 -4.877
Y -2.434 -2.373 -2.168
```

Space-group type: Imm2, No. 44
Calculated total energy, Ry/atom: -0.4971
Size of the total moment, Bohr magnetons per cell: 3.54
Distance to the lowest polymorph of the same formula, meV/atom: 168.0

---

Entry from Alexandria: crystalline Dy4Bi2Pd at its relaxed geometry (PBE-GGA).

Geometry as extended XYZ:
```
7
Lattice="4.333 0.000 0.000 0.000 7.626 -0.201 -2.166 -3.917 6.950" Properties=species:S:1:pos:R:3 pbc="T T T"
Bi 0.000 -0.044 3.768
Pd 0.000 0.000 0.000
Dy 0.000 2.762 5.152
Dy 2.166 -1.583 5.375
Dy 2.166 0.947 1.597
Bi 2.166 3.753 2.981
Dy 0.000 5.293 1.374
```

Space-group type: C2/m, No. 12
Calculated total energy, Ry/atom: -0.3694
Size of the total moment, Bohr magnetons per cell: 0.00

---

Entry from Alexandria: crystalline PrDyEr2Tl2 at its relaxed geometry (PBE-GGA).

Geometry as extended XYZ:
```
12
Lattice="5.135 0.000 0.000 0.000 6.815 0.000 0.000 0.000 10.063" Properties=species:S:1:pos:R:3 pbc="T T T"
Tl 0.000 2.028 8.749
Er 0.000 5.700 8.242
Er 0.000 2.293 1.820
Dy 2.567 1.241 6.975
Pr 0.000 6.528 4.613
Tl 2.567 1.505 3.599
Er 2.567 3.752 9.630
Er 2.567 0.345 0.433
Tl 0.000 5.436 1.314
Pr 0.000 3.121 5.450
Dy 2.567 4.648 3.088
Tl 2.567 4.912 6.463
```

Space-group type: Pmc2_1, No. 26
Calculated total energy, Ry/atom: -0.3040
Size of the total moment, Bohr magnetons per cell: 0.00

---

Entry from Alexandria: crystalline SnBr3N at its relaxed geometry (PBE-GGA).

Geometry as extended XYZ:
```
5
Lattice="-1.226 3.868 2.606 -1.790 -2.878 3.431 4.307 -0.095 2.167" Properties=species:S:1:pos:R:3 pbc="T T T"
Br -0.895 -1.439 1.715
Sn 0.646 0.447 4.102
Br 2.154 -0.048 1.084
N 0.000 0.000 0.000
Br -0.613 1.934 1.303
```

Space-group type: Pm-3m, No. 221
Calculated total energy, Ry/atom: -0.2081
Size of the total moment, Bohr magnetons per cell: 0.00
Distance to the lowest polymorph of the same formula, meV/atom: 325.8
Formation energy from raw total energies, eV per atom: 0.639

---

Entry from Alexandria: crystalline Tb3HgPd3 at its relaxed geometry (PBE-GGA).

Geometry as extended XYZ:
```
14
Lattice="5.050 0.000 0.000 0.000 8.456 0.000 0.000 -4.228 7.323" Properties=species:S:1:pos:R:3 pbc="T T T"
Pd 3.787 2.574 7.039
Tb 3.787 6.381 2.431
Pd 3.787 -3.155 6.033
Pd 3.787 0.581 1.574
Tb 1.262 -2.153 4.893
Pd 1.262 1.654 0.284
Pd 1.262 7.383 1.290
Tb 1.262 1.086 6.742
Hg 3.787 0.000 4.882
Hg 1.262 4.228 2.441
Tb 3.787 3.143 0.582
Pd 1.262 3.647 5.749
Tb 1.262 1.068 3.012
Tb 3.787 3.161 4.311
```

Space-group type: P6_3/m, No. 176
Calculated total energy, Ry/atom: -0.3620
Size of the total moment, Bohr magnetons per cell: 0.00